Here is a geometry-optimized LiPrTmRh structure from Alexandria via LeMat-Bulk. Energies are from PBE-GGA.

Lattice parameters (Å, degrees): 5.008 5.008 5.008 60.00 60.00 60.00
Fractional positions:
Li (0.000, 0.000, 0.000)
Pr (0.750, 0.750, 0.750)
Tm (0.250, 0.250, 0.250)
Rh (0.500, 0.500, 0.500)

Properties
magnetic moment: 0.0 Bohr magnetons per cell
E: -5.04 eV per atom
calculated volume: 89 Å³/f.u.
ΔE_f: -0.414 eV/atom

=====

Here is a geometry-optimized LiPrYRh structure from Alexandria via LeMat-Bulk. Energies are from PBE-GGA.

Lattice parameters (Å, degrees): 5.049 5.049 5.049 60.00 60.00 60.00
Fractional positions:
Li (0.000, 0.000, 0.000)
Pr (0.750, 0.750, 0.750)
Y (0.250, 0.250, 0.250)
Rh (0.500, 0.500, 0.500)

Properties
magnetic moment: 0.0 Bohr magnetons per cell
E: -5.52 eV per atom
calculated volume: 91 Å³/f.u.
ΔE_f: -0.388 eV/atom